# 1
! CsRbGa2Pt PBE optimized geometry; values from VASP
&SYSTEM
  ibrav = 0, nat = 5, ntyp = 4
/
ATOMIC_SPECIES
Cs 132.91 Cs.upf
Rb 85.47 Rb.upf
Pt 195.08 Pt.upf
Ga 69.72 Ga.upf
CELL_PARAMETERS angstrom
4.9802 0.0000 0.0000
0.0000 4.9802 0.0000
0.0000 0.0000 6.4037
ATOMIC_POSITIONS crystal
Cs 0.5000 0.5000 0.5000
Rb 0.0000 0.0000 0.5000
Pt 0.0000 0.0000 0.0000
Ga 0.5000 0.0000 0.0000
Ga 0.0000 0.5000 0.0000
! Energy of formation from the pure elements (eV per atom): -0.148
! Space-group type: No. 123
! Size of the total moment (μB per cell): 0.00
! E (eV/f.u.): -14.7

=====

# 2
! Cs2GaPtRh PBE optimized geometry; values from VASP
&SYSTEM
  ibrav = 0, nat = 5, ntyp = 4
/
ATOMIC_SPECIES
Cs 132.91 Cs.upf
Ga 69.72 Ga.upf
Rh 102.91 Rh.upf
Pt 195.08 Pt.upf
CELL_PARAMETERS angstrom
6.6815 0.0000 0.0000
0.0000 4.8103 0.0000
0.0000 0.0000 6.6815
ATOMIC_POSITIONS crystal
Cs 0.0000 0.0000 0.5000
Cs 0.5000 0.0000 0.0000
Ga 0.0000 0.5000 0.0000
Rh 0.5000 0.5000 0.5000
Pt 0.0000 0.0000 0.0000
! Energy of formation from the pure elements (eV per atom): 0.595
! Space-group type: No. 123
! Size of the total moment (μB per cell): 1.65
! E (eV/f.u.): -15.2

=====

# 3
! CsSrGaPt2 PBE optimized geometry; values from VASP
&SYSTEM
  ibrav = 0, nat = 5, ntyp = 4
/
ATOMIC_SPECIES
Pt 195.08 Pt.upf
Sr 87.62 Sr.upf
Ga 69.72 Ga.upf
Cs 132.91 Cs.upf
CELL_PARAMETERS angstrom
5.4250 0.0000 0.0000
0.0000 5.5808 0.0000
0.0000 0.0000 5.4250
ATOMIC_POSITIONS crystal
Pt 0.5000 0.0000 0.0000
Sr 0.5000 0.5000 0.5000
Pt 0.0000 0.0000 0.5000
Ga 0.0000 0.5000 0.0000
Cs 0.0000 0.0000 0.0000
! Energy of formation from the pure elements (eV per atom): 0.934
! Space-group type: No. 123
! Size of the total moment (μB per cell): 0.00
! E (eV/f.u.): -13.0